The following is a GGA-PBE calculation of YEr2Ir2 after structural relaxation, from the Alexandria database.

Unit cell a=5.469 b=4.367 c=10.374 alpha=90.00 beta=97.04 gamma=90.00
Element x y z (fractional)
Y1 0.100 0.250 0.290
Y2 0.900 0.750 0.710
Er1 0.249 0.250 0.969
Er2 0.392 0.250 0.617
Er3 0.608 0.750 0.383
Er4 0.751 0.750 0.031
Ir1 0.156 0.750 0.475
Ir2 0.270 0.750 0.140
Ir3 0.730 0.250 0.860
Ir4 0.844 0.250 0.525

## Properties
* symmetry: P2_1/m (11)
* crystal system: monoclinic
* formation enthalpy at 0 K: -3.8 eV per formula unit
* Fermi-level density of states: 4.768 states/eV/cell
* ΔE to the lowest computed polymorph: 51 meV/atom



The following is a GGA-PBE calculation of YErIr after structural relaxation, from the Alexandria database.

Unit cell a=4.475 b=4.475 c=7.963 alpha=106.25 beta=106.25 gamma=90.02
Element x y z (fractional)
Y1 0.185 0.185 0.370
Y2 0.815 0.815 0.630
Er1 0.000 0.500 0.000
Er2 0.500 0.000 0.000
Ir1 0.375 0.375 0.748
Ir2 0.625 0.625 0.252

## Properties
* symmetry: C2/m (12)
* crystal system: monoclinic
* formation enthalpy at 0 K: -1.8 eV per formula unit
* Fermi-level density of states: 6.069 states/eV/cell
* ΔE to the lowest computed polymorph: 109 meV/atom



The following is a GGA-PBE calculation of YEr2Ir3 after structural relaxation, from the Alexandria database.

Unit cell a=4.823 b=4.823 c=5.906 alpha=90.00 beta=90.00 gamma=120.00
Element x y z (fractional)
Y1 0.000 0.000 0.000
Er1 0.333 0.667 0.666
Er2 0.667 0.333 0.334
Ir1 0.000 0.000 0.500
Ir2 0.333 0.667 0.170
Ir3 0.667 0.333 0.830

## Properties
* symmetry: P-3m1 (164)
* crystal system: trigonal
* formation enthalpy at 0 K: -5.1 eV per formula unit
* Fermi-level density of states: 2.664 states/eV/cell



For the records above, the corresponding mass density values read 10.91 10.17 13.96 Mg/m³.
For the records above, the corresponding VASP energy values read -7.414 -7.228 -7.877 eV/atom.